4
Lattice="2.770 0.000 0.000 -1.385 2.399 0.000 0.000 0.000 8.942" Properties=species:S:1:pos:R:3 comment="RuPt PBE-GGA relaxed" ef_mev_per_atom=-2 total_energy_ev_per_cell=-30.64 space_group="P-3m1, No. 164" magnetic_moment_mub_per_cell=0.00 pbc="T T T"
Ru 0.000 1.599 3.455
Ru 1.385 0.800 5.487
Pt 0.000 1.599 7.738
Pt 1.385 0.800 1.205


4
Lattice="3.945 0.000 0.000 0.000 2.192 5.390 0.000 -2.192 5.390" Properties=species:S:1:pos:R:3 comment="TbCeSiGe PBE-GGA relaxed" total_energy_ev_per_cell=-23.58 space_group="Amm2, No. 38" raw_formation_energy_kcal_per_mol_atoms=-17.18 magnetic_moment_mub_per_cell=0.66 pbc="T T T"
Tb 0.000 0.000 0.000
Ce 1.973 0.000 7.787
Si 0.000 0.000 3.035
Ge 1.973 0.000 4.736


10
Lattice="4.292 0.000 0.000 0.000 4.292 0.000 0.000 0.000 10.713" Properties=species:S:1:pos:R:3 comment="Pr2Al4Ga3Cu PBE-GGA relaxed" ef_mev_per_atom=-445 total_energy_ev_per_cell=-42.15 space_group="P-4m2, No. 115" magnetic_moment_mub_per_cell=0.00 pbc="T T T"
Pr 0.000 2.146 2.614
Pr 2.146 0.000 8.099
Al 0.000 0.000 5.357
Al 0.000 2.146 9.377
Al 2.146 0.000 1.336
Al 2.146 2.146 5.357
Ga 0.000 0.000 0.000
Ga 0.000 2.146 6.864
Ga 2.146 0.000 3.850
Cu 2.146 2.146 0.000


28
Lattice="6.587 -3.824 0.000 6.587 3.824 0.000 0.000 0.000 9.580" Properties=species:S:1:pos:R:3 comment="Sm2Ga9Ir3 PBE-GGA relaxed" ef_mev_per_atom=-679 total_energy_ev_per_cell=-145.53 space_group="Cmcm, No. 63" magnetic_moment_mub_per_cell=0.00 pbc="T T T"
Sm 4.424 2.552 7.185
Sm 8.749 2.552 7.185
Sm 4.424 -2.552 2.395
Sm 8.749 -2.552 2.395
Ga 4.388 2.540 0.754
Ga 4.388 2.540 4.037
Ga 6.587 2.833 2.395
Ga 6.587 1.274 5.390
Ga 6.587 1.274 8.981
Ga 8.785 2.540 0.754
Ga 8.785 2.540 4.037
Ga 5.225 0.440 2.395
Ga 5.225 -0.440 7.185
Ga 7.948 0.440 2.395
Ga 7.948 -0.440 7.185
Ga 4.388 -2.540 5.544
Ga 4.388 -2.540 8.827
Ga 6.587 -1.274 0.600
Ga 6.587 -1.274 4.191
Ga 6.587 -2.833 7.185
Ga 8.785 -2.540 5.544
Ga 8.785 -2.540 8.827
Ir 0.000 0.000 0.000
Ir 0.000 0.000 4.790
Ir 4.333 0.000 0.000
Ir 4.333 0.000 4.790
Ir 8.840 0.000 0.000
Ir 8.840 0.000 4.790


3
Lattice="4.261 0.000 0.000 -2.131 3.690 0.000 0.000 0.000 4.320" Properties=species:S:1:pos:R:3 comment="BeTlHg PBE-GGA relaxed" ef_mev_per_atom=462 total_energy_ev_per_cell=-5.01 space_group="P3m1, No. 156" magnetic_moment_mub_per_cell=0.00 pbc="T T T"
Be 0.000 0.000 0.000
Tl 2.131 1.230 2.191
Hg 0.000 2.460 0.036


11
Lattice="3.504 -6.038 0.000 3.504 6.038 0.000 -2.330 0.000 6.584" Properties=species:S:1:pos:R:3 comment="Dy2Er3Se6 PBE-GGA relaxed" total_energy_ev_per_cell=-64.09 space_group="C2/m, No. 12" raw_formation_energy_kcal_per_mol_atoms=-42.54 magnetic_moment_mub_per_cell=0.00 pbc="T T T"
Dy 3.504 4.046 0.000
Dy 3.504 -4.046 0.000
Er -1.165 0.000 3.292
Er 2.339 2.001 3.292
Er 2.339 -2.001 3.292
Se 0.024 1.982 4.938
Se 1.218 0.000 1.627
Se 0.024 -1.982 4.938
Se 4.653 1.982 1.646
Se 3.459 0.000 4.958
Se 4.653 -1.982 1.646


6
Lattice="4.162 0.000 0.000 0.000 4.162 0.000 0.000 0.000 5.490" Properties=species:S:1:pos:R:3 comment="TbGe2BRu2 PBE-GGA relaxed" ef_mev_per_atom=-531 total_energy_ev_per_cell=-42.28 space_group="P4/mmm, No. 123" magnetic_moment_mub_per_cell=0.00 pbc="T T T"
Tb 0.000 0.000 0.000
Ge 2.081 2.081 1.215
Ge 2.081 2.081 4.275
B 0.000 0.000 2.745
Ru 0.000 2.081 2.745
Ru 2.081 0.000 2.745


10
Lattice="6.446 -2.943 0.000 6.446 2.943 0.000 -1.989 0.000 5.805" Properties=species:S:1:pos:R:3 comment="Li3SBr PBE-GGA relaxed" total_energy_ev_per_cell=-36.12 space_group="C2/m, No. 12" raw_formation_energy_kcal_per_mol_atoms=-30.05 magnetic_moment_mub_per_cell=0.00 pbc="T T T"
Li 2.922 1.472 1.314
Li 0.186 0.000 1.305
Li 7.982 1.472 4.491
Li 2.922 -1.472 1.314
Li 10.718 0.000 4.500
Li 7.982 -1.472 4.491
S -0.049 0.000 5.486
S 10.953 0.000 0.319
Br 3.436 0.000 3.406
Br 7.468 0.000 2.400